Below is a geometry-optimized TbPm8Y3 structure, with properties calculated at the PBE level.

a = 6.370 Å, b = 8.612 Å, c = 8.625 Å
α = 85.03°, β = 68.36°, γ = 68.40°
Atoms (fractional coordinates):
Tb 0.000 0.000 0.000
Pm 0.002 0.418 0.917
Pm 0.002 0.918 0.417
Pm 0.334 0.085 0.586
Pm 0.334 0.586 0.085
Pm 0.334 0.667 0.666
Pm 0.335 0.166 0.166
Pm 0.667 0.333 0.333
Pm 0.667 0.833 0.834
Y 0.000 0.500 0.500
Y 0.670 0.252 0.751
Y 0.670 0.752 0.251

Values from the calculation:
The calculation puts the total energy at -61.8 eV/cell. For the density, the calculation gives 6.450 g/cm³. The energy relative to the elements comes out at 0.02 eV per atom. As for the space group: P1 (1).